Crystalline MnSbPt at its relaxed geometry. Source: Alexandria via LeMat-Bulk, functional PBE-GGA.

Results
Calculated volume (A^3/atom): 18.019
DOS(E_F) (states/eV per atom): 0.5850
Formation energy from raw total energies (eV per atom): -0.102
Energy relative to the lowest polymorph listed for this composition (eV/atom): 0.269
Symmetry: No. 107

```
MnSbPt
1.0
-3.045 2.217 2.975
-4.198 1.238 -1.970
2.626 -4.013 0.183
Sb Mn Pt
1 1 1
direct
0.670 0.670 0.000
0.994 0.994 0.000
0.336 0.336 0.000
```



Crystalline Cd2AsClO4 at its relaxed geometry. Source: Alexandria via LeMat-Bulk, functional PBE-GGA.

Results
Calculated volume (A^3/atom): 15.066
Formation energy from raw total energies (eV per atom): -0.948
Symmetry: No. 12

```
Cd2AsClO4
1.0
3.132 0.000 0.000
1.566 4.891 0.102
1.566 0.937 7.888
As O Cd Cl
1 4 2 1
direct
0.000 0.000 0.000
0.398 0.262 0.942
0.854 0.082 0.210
0.602 0.738 0.058
0.146 0.918 0.790
0.179 0.406 0.235
0.821 0.594 0.765
0.500 0.500 0.500
```



Crystalline GaRuAu3 at its relaxed geometry. Source: Alexandria via LeMat-Bulk, functional PBE-GGA.

Results
Calculated volume (A^3/atom): 21.539
DOS(E_F) (states/eV per atom): 0.8693
Energy relative to the lowest polymorph listed for this composition (eV/atom): 0.043
ΔH_f (0 K) (eV/atom): 0.95
Symmetry: No. 221

```
GaRuAu3
1.0
4.758 0.000 0.000
0.000 4.758 0.000
0.000 0.000 4.758
Ru Ga Au
1 1 3
direct
0.500 0.500 0.500
0.000 0.000 0.000
0.500 0.000 0.000
0.000 0.500 0.000
0.000 0.000 0.500
```



Crystalline YMgSi2 at its relaxed geometry. Source: Alexandria via LeMat-Bulk, functional PBE-GGA.

Results
Calculated volume (A^3/atom): 19.323
DOS(E_F) (states/eV per atom): 0.5208
Formation energy from raw total energies (eV per atom): -0.223
Symmetry: No. 139

```
YMgSi2
1.0
5.209 -0.046 -0.006
1.758 4.903 0.006
-3.480 -2.433 3.017
Si Y Mg
2 1 1
direct
0.500 0.500 0.000
0.000 0.000 0.000
0.750 0.250 0.500
0.250 0.750 0.500
```



Crystalline PuInH2O6 at its relaxed geometry. Source: Alexandria via LeMat-Bulk, functional PBE-GGA.

Results
Calculated volume (A^3/atom): 12.345
Calculated total energy (eV/cell): -70.23
Symmetry: No. 2

```
PuInH2O6
1.0
5.330 0.234 -0.057
2.865 4.808 -0.170
2.673 1.501 4.876
H In O Pu
2 1 6 1
direct
0.406 0.724 0.310
0.226 0.909 0.794
0.816 0.816 0.551
0.688 0.081 0.821
0.420 0.725 0.795
0.547 0.205 0.283
0.085 0.427 0.820
0.212 0.907 0.308
0.944 0.551 0.282
0.316 0.316 0.051
```



Crystalline La3Dy8Ho2 at its relaxed geometry. Source: Alexandria via LeMat-Bulk, functional PBE-GGA.

Results
Calculated volume (A^3/atom): 32.926
DOS(E_F) (states/eV per atom): 1.5366
Energy relative to the lowest polymorph listed for this composition (eV/atom): 0.000
ΔH_f (0 K) (eV/atom): 0.09
Symmetry: No. 2

```
La3Dy8Ho2
1.0
5.546 0.710 0.363
-0.972 5.849 3.350
-3.300 -2.279 11.643
Dy La Ho
8 3 2
direct
0.330 0.815 0.661
0.624 0.733 0.247
0.921 0.560 0.843
0.376 0.267 0.753
0.822 0.095 0.644
0.079 0.440 0.157
0.178 0.905 0.356
0.670 0.185 0.339
0.488 0.729 0.977
0.000 0.000 0.000
0.512 0.271 0.023
0.769 0.647 0.539
0.231 0.353 0.461
```



Crystalline BaPdRhCl6 at its relaxed geometry. Source: Alexandria via LeMat-Bulk, functional PBE-GGA.

Results
Calculated volume (A^3/atom): 27.236
DOS(E_F) (states/eV per atom): 0.0328
Formation energy from raw total energies (eV per atom): -1.051
Symmetry: No. 1

```
BaPdRhCl6
1.0
7.340 -0.008 0.448
3.667 5.343 0.227
0.436 0.003 6.272
Cl Rh Pd Ba
6 1 1 1
direct
0.051 0.339 0.339
0.610 0.339 0.661
0.615 0.004 0.265
0.382 0.002 0.735
0.322 0.631 0.252
0.047 0.629 0.749
0.334 0.332 0.500
0.678 0.644 0.500
0.960 0.080 0.999
```



Crystalline Tl2Bi3Pb4 at its relaxed geometry. Source: Alexandria via LeMat-Bulk, functional PBE-GGA.

Results
Calculated volume (A^3/atom): 32.929
DOS(E_F) (states/eV per atom): 0.5040
Energy relative to the lowest polymorph listed for this composition (eV/atom): 0.000
ΔH_f (0 K) (eV/atom): 0.03
Symmetry: No. 15

```
Tl2Bi3Pb4
1.0
-4.140 2.740 4.964
-2.496 -8.100 4.729
5.429 -1.777 7.847
Tl Pb Bi
4 8 6
direct
0.842 0.170 0.488
0.658 0.512 0.830
0.158 0.830 0.512
0.342 0.488 0.170
0.336 0.148 0.494
0.836 0.494 0.148
0.005 0.822 0.175
0.505 0.175 0.822
0.995 0.178 0.825
0.164 0.506 0.852
0.495 0.825 0.178
0.664 0.852 0.506
0.750 0.534 0.466
0.250 0.466 0.534
0.803 0.839 0.859
0.197 0.161 0.141
0.697 0.140 0.161
0.303 0.860 0.839
```



Number 1 is which compound?
MnSbPt



The lowest calculated volume belongs to which entry?
PuInH2O6



What is the calculated volume in the sixth record?
32.926 A^3/atom



The highest calculated volume belongs to which entry?
Tl2Bi3Pb4